Tb2YI8 | GGA-PBE | optimized geometry

a b c (Å): 7.3133 10.7047 10.7047
angles (deg): 49.09 95.85 95.85
With the nearest neighbours (Å) after each atom.
Element x y z (fractional)
Tb1 0.4154 0.1426 0.1426  4 I 2.85-2.97
Tb2 0.5846 0.8574 0.8574  4 I 2.85-2.97
Y1 0.0000 0.0000 0.0000  6 I 3.08-3.13
I1 0.7444 0.1942 0.6851  1 Tb 2.94, 1 Y 3.08
I2 0.2556 0.3149 0.8058  1 Tb 2.94, 1 Y 3.08
I3 0.8206 0.1383 0.1383  1 Tb 2.97, 1 Y 3.13
I4 0.1794 0.8617 0.8617  1 Tb 2.97, 1 Y 3.13
I5 0.7444 0.6851 0.1942  1 Tb 2.94, 1 Y 3.08
I6 0.2556 0.8058 0.3149  1 Tb 2.94, 1 Y 3.08
I7 0.3490 0.2841 0.2841  1 Tb 2.85
I8 0.6510 0.7159 0.7159  1 Tb 2.85

Computed properties:
The uncorrected formation energy comes out at -1.23 eV per atom. As for the final energy: -41.60 eV/cell. The value obtained for the total magnetization is 1.0 μB per formula unit. The calculation puts the volume at 57.2 Å³/atom.

=====

SmAg2Bi | GGA-PBE | optimized geometry

a b c (Å): 4.8628 4.4880 4.4880
angles (deg): 90.00 90.00 90.00
With the nearest neighbours (Å) after each atom.
Element x y z (fractional)
Ag1 0.0000 0.0000 0.5000  4 Ag 3.17, 4 Bi 3.31, 4 Sm 3.31
Ag2 0.0000 0.5000 0.0000  4 Ag 3.17, 4 Bi 3.31, 4 Sm 3.31
Bi1 0.5000 0.5000 0.5000  4 Sm 3.17, 8 Ag 3.31
Sm1 0.5000 0.0000 0.0000  4 Bi 3.17, 8 Ag 3.31

Computed properties:
The value obtained for the formation energy is -31 kJ per mole of atoms. As for the final energy: -15.59 eV/cell. The value obtained for the total magnetization is 0.0 μB per formula unit. The calculation puts the volume at 24.5 Å³/atom.

=====

NaTlGe | GGA-PBE | optimized geometry

a b c (Å): 4.0932 5.1242 7.8522
angles (deg): 90.00 90.00 90.00
With the nearest neighbours (Å) after each atom.
Element x y z (fractional)
Na1 0.5000 0.0000 0.6970  3 Ge 3.30-3.51, 4 Tl 3.36
Na2 0.0000 0.5000 0.3910  3 Tl 3.12-3.17, 4 Ge 3.40
Tl1 0.5000 0.5000 0.0821  6 Ge 2.98-3.28, 2 Tl 3.08, 2 Na 3.17
Tl2 0.0000 0.5000 0.7885  2 Tl 3.08, 5 Na 3.12-3.36, 2 Ge 3.34
Ge1 0.5000 0.0000 0.2770  2 Ge 2.66
Ge2 0.0000 0.0000 0.0606  2 Ge 2.66

Computed properties:
The value obtained for the formation energy is 3 kJ per mole of atoms. As for the final energy: -16.44 eV/cell. The value obtained for the total magnetization is 0.0 μB per formula unit. The calculation puts the volume at 27.4 Å³/atom.

=====

CsBa2Li2 | GGA-PBE | optimized geometry

a b c (Å): 10.3096 10.3096 4.9295
angles (deg): 90.00 90.00 90.00
With the nearest neighbours (Å) after each atom.
Element x y z (fractional)
Cs1 0.0000 0.0000 0.0000  4 Li 4.12, 8 Ba 4.59
Cs2 0.5000 0.5000 0.0000  4 Li 4.12, 8 Ba 4.59
Ba1 0.1594 0.6594 0.5000  6 Li 3.80-4.08
Ba2 0.6594 0.8406 0.5000  6 Li 3.80-4.08
Ba3 0.8406 0.3406 0.5000  6 Li 3.80-4.08
Ba4 0.3406 0.1594 0.5000  6 Li 3.80-4.08
Li1 0.3821 0.8821 0.0000  1 Li 3.44, 4 Ba 3.80
Li2 0.8821 0.6179 0.0000  1 Li 3.44, 4 Ba 3.80
Li3 0.6179 0.1179 0.0000  1 Li 3.44, 4 Ba 3.80
Li4 0.1179 0.3821 0.0000  1 Li 3.44, 4 Ba 3.80

Computed properties:
The value obtained for the formation energy is 12 kJ per mole of atoms. As for the final energy: -15.82 eV/cell. The value obtained for the total magnetization is 0.0 μB per formula unit. The calculation puts the volume at 52.4 Å³/atom.

=====

YSiPt | GGA-PBE | optimized geometry

a b c (Å): 4.2438 4.2438 3.7956
angles (deg): 90.00 90.00 120.00
With the nearest neighbours (Å) after each atom.
Element x y z (fractional)
Y1 0.3333 0.6667 0.6667  6 Pt 3.10, 6 Si 3.10
Si1 0.6667 0.3333 0.1667  3 Pt 2.45
Pt1 0.0000 0.0000 0.1666  3 Si 2.45

Computed properties:
The uncorrected formation energy comes out at -1.16 eV per atom. As for the final energy: -21.40 eV/cell. The value obtained for the total magnetization is 0.0 μB per formula unit. The calculation puts the volume at 19.7 Å³/atom.

=====

Li4NCl2 | GGA-PBE | optimized geometry

a b c (Å): 3.9913 3.9913 6.9906
angles (deg): 73.41 73.41 90.00
With the nearest neighbours (Å) after each atom.
Element x y z (fractional)
N1 0.0000 0.0000 0.0000  6 Li 2.00-2.02
Li1 0.1578 0.1578 0.6845  1 N 2.02
Li2 0.8422 0.8422 0.3155  1 N 2.02
Li3 0.0000 0.5000 0.0000  2 N 2.00
Li4 0.5000 0.0000 0.0000  2 N 2.00
Cl1 0.3484 0.3484 0.3033  1 Li 2.44
Cl2 0.6516 0.6516 0.6967  1 Li 2.44

Computed properties:
The uncorrected formation energy comes out at -0.96 eV per atom. As for the final energy: -26.37 eV/cell. The value obtained for the energy above the most stable polymorph in this dataset is 0.022 eV per atom. The value obtained for the total magnetization is 1.0 μB per formula unit. The calculation puts the volume at 14.6 Å³/atom.